(1)
# Ni2Rh

A relaxed Ni2Rh crystal (PBE-GGA, Alexandria via LeMat-Bulk).

Structure (POSCAR):
```
Ni2Rh
1.0
-3.114 2.820 -5.312
4.805 -3.381 3.369
-2.040 -3.623 -0.727
Rh Ni
2 4
Direct
0.892 0.108 0.500 Rh
0.330 0.670 0.000 Rh
0.216 0.784 0.500 Ni
0.559 0.441 0.500 Ni
0.664 0.336 0.000 Ni
0.006 0.994 0.000 Ni
```

Formation enthalpy at 0 K   0.24 eV/f.u.
Electronic total energy   -0.4575 Ry/atom
DOS at the Fermi energy   11.70 states/eV per cell
Calculated volume   37.0 Å³/f.u.



(2)
# NiRh

A relaxed NiRh crystal (PBE-GGA, Alexandria via LeMat-Bulk).

Structure (POSCAR):
```
NiRh
1.0
-0.830 -3.957 -1.074
2.368 -1.933 -2.856
2.592 -3.071 1.163
Ni Rh
2 2
Direct
0.750 0.750 0.750 Ni
0.000 0.000 0.000 Ni
0.250 0.250 0.250 Rh
0.500 0.500 0.500 Rh
```

Formation enthalpy at 0 K   0.47 eV/f.u.
Electronic total energy   -0.4653 Ry/atom
DOS at the Fermi energy   10.57 states/eV per cell
Calculated volume   25.9 Å³/f.u.



(3)
# Ni2Rh

A relaxed Ni2Rh crystal (PBE-GGA, Alexandria via LeMat-Bulk).

Structure (POSCAR):
```
Ni2Rh
1.0
-1.295 1.295 11.447
1.295 -1.295 11.447
1.295 1.295 -11.447
Ni Rh
4 2
Direct
0.580 0.580 0.000 Ni
0.420 0.420 0.000 Ni
0.330 0.830 0.500 Ni
0.170 0.670 0.500 Ni
0.750 0.250 0.500 Rh
0.000 0.000 0.000 Rh
```

Formation enthalpy at 0 K   0.60 eV/f.u.
Electronic total energy   -0.4487 Ry/atom
DOS at the Fermi energy   8.39 states/eV per cell
Calculated volume   38.4 Å³/f.u.



> What is the formation enthalpy at 0 K in the third record?

0.60 eV/f.u.